Record 1
## Nd2ZnAs3Pd4 (PBE-GGA)

Data for a relaxed structure of Nd2ZnAs3Pd4.

Unit cell a=4.2755 b=4.2755 c=10.5469 alpha=90.00 beta=90.00 gamma=90.00
With the nearest neighbours (Å) after each atom.
Fractional positions:
Nd 0.5000 0.0000 0.2404  6 As 3.21-3.47, 8 Pd 3.31-3.32, 2 Zn 3.47
Pd 0.0000 0.0000 0.0000  4 As 2.58
As 0.0000 0.0000 0.5000  4 Pd 2.54
As 0.5000 0.0000 0.8625  5 Pd 2.44-2.58
Pd 0.0000 0.5000 0.3691  3 As 2.44-2.54, 2 Zn 2.54
Pd 0.5000 0.5000 0.0000  4 As 2.58
Pd 0.5000 0.0000 0.6309  3 As 2.44-2.54, 2 Zn 2.54
As 0.0000 0.5000 0.1375  5 Pd 2.44-2.58
Nd 0.0000 0.5000 0.7596  6 As 3.21-3.47, 8 Pd 3.31-3.32, 2 Zn 3.47
Zn 0.5000 0.5000 0.5000  4 Pd 2.54

Properties
ΔE_f, kJ per mole of atoms: -82.7
Magnetic moment, μB per formula unit: 0.00
Energy, eV/atom: -5.410

Record 2
## PmNdAs2 (PBE-GGA)

Data for a relaxed structure of PmNdAs2.

Unit cell a=4.2112 b=4.2112 c=7.6505 alpha=74.02 beta=74.02 gamma=60.00
With the nearest neighbours (Å) after each atom.
Fractional positions:
As 0.2504 0.2504 0.2490  3 Nd 3.06, 3 Pm 3.07
Nd 0.6691 0.6691 0.9926  6 As 3.00-3.06
As 0.0829 0.0829 0.7513  3 Nd 3.00, 3 Pm 3.01
Pm 0.4976 0.4976 0.5071  6 As 3.01-3.07

Properties
ΔE_f, kJ per mole of atoms: -131.5
Magnetic moment, μB per formula unit: 0.00
ΔE to the lowest computed polymorph, eV/atom: 0.1591
Energy, eV/atom: -6.067

Record 3
## Pm2Nd2As5 (PBE-GGA)

Data for a relaxed structure of Pm2Nd2As5.

Unit cell a=7.8210 b=8.6899 c=8.6899 alpha=127.19 beta=90.00 gamma=90.00
With the nearest neighbours (Å) after each atom.
Fractional positions:
As 0.3773 0.7373 0.0175  1 As 2.70, 1 Pm 3.00
As 0.3773 0.0175 0.7373  1 As 2.70, 1 Pm 3.00
Nd 0.3306 0.1676 0.1676  8 As 2.89-3.18
Pm 0.0000 0.8125 0.1875  7 As 2.92-3.19
Pm 0.5000 0.3125 0.6875  7 As 2.92-3.19
Pm 0.0000 0.1875 0.8125  7 As 2.92-3.19
As 0.8773 0.7627 0.4825  1 As 2.70, 1 Pm 3.00
Nd 0.1694 0.6676 0.6676  8 As 2.89-3.18
As 0.6227 0.2627 0.9825  1 As 2.70, 1 Pm 3.00
As 0.6227 0.9825 0.2627  1 As 2.70, 1 Pm 3.00
As 0.1227 0.5175 0.2373  1 As 2.70, 1 Pm 3.00
As 0.5000 0.5000 0.5000  4 Nd 2.89, 2 Pm 2.92
As 0.8773 0.4825 0.7627  1 As 2.70, 1 Pm 3.00
As 0.1227 0.2373 0.5175  1 As 2.70, 1 Pm 3.00
Nd 0.6694 0.8324 0.8324  8 As 2.89-3.18
As 0.0000 0.0000 0.0000  4 Nd 2.89, 2 Pm 2.92
Pm 0.5000 0.6875 0.3125  7 As 2.92-3.19
Nd 0.8306 0.3324 0.3324  8 As 2.89-3.18

Properties
ΔE_f, kJ per mole of atoms: -112.5
Magnetic moment, μB per formula unit: 0.00
Energy, eV/atom: -5.864

Record 4
## PmNdAs2 (PBE-GGA)

Data for a relaxed structure of PmNdAs2.

Unit cell a=5.1986 b=5.1986 c=5.1986 alpha=60.00 beta=60.00 gamma=60.00
With the nearest neighbours (Å) after each atom.
Fractional positions:
As 0.2500 0.2500 0.2500  4 Nd 3.18, 4 Pm 3.18
As 0.7500 0.7500 0.7500  4 Pm 3.18, 4 Nd 3.18
Pm 0.0000 0.0000 0.0000  8 As 3.18
Nd 0.5000 0.5000 0.5000  8 As 3.18

Properties
ΔE_f, kJ per mole of atoms: -103.5
Magnetic moment, μB per formula unit: 0.00
ΔE to the lowest computed polymorph, eV/atom: 0.4493
Energy, eV/atom: -5.777